Record 1
VASP calculation (PBE) on crystalline Dy4MgZn2Ru at its relaxed geometry.

Output
* symmetry: No. 166

abc: 5.0575 5.0575 8.7582
angles: 73.22 73.22 60.00
Last column: nearest neighbours and their distance in Å.
Atoms (fractional coordinates):
Dy 0.3859 0.3859 0.8422  1 Ru 2.83, 4 Zn 2.97-3.12
Dy 0.8672 0.8672 0.3984  3 Ru 3.04, 4 Zn 3.15-3.27, 1 Mg 3.29, 3 Dy 3.37
Dy 0.1328 0.1328 0.6016  3 Ru 3.04, 4 Zn 3.15-3.27, 1 Mg 3.29, 3 Dy 3.37
Dy 0.6141 0.6141 0.1578  1 Ru 2.83, 4 Zn 2.97-3.12
Mg 0.0000 0.0000 0.0000  8 Dy 3.20-3.29, 6 Zn 3.44
Zn 0.7402 0.7402 0.7795  8 Dy 2.97-3.27
Zn 0.2598 0.2598 0.2205  8 Dy 2.97-3.27
Ru 0.5000 0.5000 0.5000  8 Dy 2.83-3.04

***

Record 2
VASP calculation (PBE) on crystalline Dy4MgZnRu2 at its relaxed geometry.

Output
* symmetry: No. 166

abc: 4.9592 4.9592 8.6213
angles: 73.28 73.28 60.00
Last column: nearest neighbours and their distance in Å.
Atoms (fractional coordinates):
Dy 0.3779 0.3779 0.8663  1 Zn 2.98, 4 Ru 3.00-3.07, 3 Mg 3.06
Dy 0.8727 0.8727 0.3820  3 Zn 3.02, 4 Ru 3.05-3.08, 1 Mg 3.11
Dy 0.1273 0.1273 0.6180  3 Zn 3.02, 4 Ru 3.05-3.08, 1 Mg 3.11
Dy 0.6221 0.6221 0.1337  1 Zn 2.98, 4 Ru 3.00-3.07, 3 Mg 3.06
Mg 0.0000 0.0000 0.0000  8 Dy 3.06-3.11
Zn 0.5000 0.5000 0.5000  8 Dy 2.98-3.02
Ru 0.7477 0.7477 0.7568  8 Dy 3.00-3.08
Ru 0.2523 0.2523 0.2432  8 Dy 3.00-3.08

***

Record 3
VASP calculation (PBE) on crystalline DyMgZnRu at its relaxed geometry.

Output
* symmetry: No. 216

abc: 4.7335 4.7335 4.7335
angles: 60.00 60.00 60.00
Last column: nearest neighbours and their distance in Å.
Atoms (fractional coordinates):
Ru 0.7500 0.7500 0.7500  4 Mg 2.90, 4 Dy 2.90
Zn 0.2500 0.2500 0.2500  4 Dy 2.90, 4 Mg 2.90
Mg 0.0000 0.0000 0.0000  4 Ru 2.90, 4 Zn 2.90
Dy 0.5000 0.5000 0.5000  4 Zn 2.90, 4 Ru 2.90

***

Record 4
VASP calculation (PBE) on crystalline DyMgZrRu at its relaxed geometry.

Output
* symmetry: No. 216

abc: 4.8962 4.8962 4.8962
angles: 60.00 60.00 60.00
Last column: nearest neighbours and their distance in Å.
Atoms (fractional coordinates):
Ru 0.7500 0.7500 0.7500  4 Dy 3.00, 4 Zr 3.00
Mg 0.2500 0.2500 0.2500  4 Zr 3.00, 4 Dy 3.00
Zr 0.0000 0.0000 0.0000  4 Mg 3.00, 4 Ru 3.00
Dy 0.5000 0.5000 0.5000  4 Ru 3.00, 4 Mg 3.00

***

The records above give, respectively, ΔE_f values of -314, -286, -155, -159 meV per atom.